Computed, not measured: a PBEsol-optimized structure of YSI2N at the SCAN level of DFT.

Computed properties:
Formation energy from raw total energies   32.4 kJ/mol of atoms
M_tot   0.00 μB/cell
Total energy   -118.6 eV for the cell shown

Structure (POSCAR):
```
YSI2N
1.0
5.8675 0.0000 0.0000
0.0000 5.8675 0.0000
0.0000 0.0000 3.4627
Y S I N
1 1 2 1
Cartesian
0.0000 0.0000 0.0000
2.9337 2.9337 1.7314
0.0000 2.9337 1.7314
2.9337 0.0000 1.7314
2.9337 2.9337 0.0000
```


Computed, not measured: a PBEsol-optimized structure of La3Tl at the SCAN level of DFT.

Computed properties:
ΔE to the lowest computed polymorph   76.1 meV per atom
M_tot   0.00 μB/cell
Energy of formation   -310.0 meV/atom
Total energy   -202.9 eV for the cell shown

Structure (POSCAR):
```
La3Tl
1.0
5.8003 -1.8031 0.0000
5.8003 1.8031 0.0000
-0.9769 0.0000 5.8687
La Tl
3 1
Cartesian
0.0000 0.0000 0.0000
2.0458 0.0000 4.2706
8.5778 0.0000 1.5981
5.3118 0.0000 2.9343
```